<w>
A geometry-optimized RbTa3Pt structure, computed with PBE-GGA.

a b c (Å): 4.7101 4.7101 4.7101
angles (deg): 90.00 90.00 90.00
Closest atoms and distances in Å follow each position.
Positions (direct):
Rb 0.0000 0.0000 0.0000  6 Ta 2.36
Ta 0.0000 0.0000 0.5000  2 Rb 2.36
Ta 0.0000 0.5000 0.0000  2 Rb 2.36
Ta 0.5000 0.0000 0.0000  2 Rb 2.36
Pt 0.5000 0.5000 0.5000  12 Ta 3.33

Values from the calculation:
The volume is 20.90 A^3/atom. The density of states at the Fermi level comes out at 9.6 states/eV per cell. The crystal system is cubic.

***

<x>
A geometry-optimized RbTa3Pt structure, computed with PBE-GGA.

a b c (Å): 5.0650 5.0650 5.0650
angles (deg): 90.00 90.00 90.00
Closest atoms and distances in Å follow each position.
Positions (direct):
Rb 0.0000 0.0000 0.0000  12 Ta 3.58
Ta 0.0000 0.5000 0.5000  2 Pt 2.53
Ta 0.5000 0.0000 0.5000  2 Pt 2.53
Ta 0.5000 0.5000 0.0000  2 Pt 2.53
Pt 0.5000 0.5000 0.5000  6 Ta 2.53

Values from the calculation:
The volume is 25.99 A^3/atom. The density of states at the Fermi level comes out at 6.4 states/eV per cell. The crystal system is cubic.

***

Which of the structures shown above is the most stable? The most stable is <x>.